Compound: ZrCu2Tc
Source: Alexandria
Functional: PBE-GGA
Structure: relaxed

Summary:
- Energy above the lowest structure with this stoichiometry: 0.938 eV/f.u.
- Total DFT energy (no corrections): -6.5849 eV/atom
- Spin magnetization: 0.0 μB per formula unit
- ΔE_f: 0.77 eV/f.u.

Geometry as POSCAR:
```
ZrCu2Tc
1.0
2.8140 0.0000 0.0000
0.0000 2.8140 0.0000
0.0000 0.0000 7.6171
Zr Cu Tc
1 2 1
Direct
0.0000 0.0000 0.0000 Zr
0.5000 0.5000 0.2707 Cu
0.5000 0.5000 0.7293 Cu
0.0000 0.0000 0.5000 Tc
```



Compound: Zr2CuTc
Source: Alexandria
Functional: PBE-GGA
Structure: relaxed

Summary:
- Total DFT energy (no corrections): -7.9043 eV/atom
- Spin magnetization: 0.0 μB per formula unit
- ΔE_f: -0.06 eV/f.u.

Geometry as POSCAR:
```
Zr2CuTc
1.0
-2.0058 2.0058 4.4163
2.0058 -2.0058 4.4163
2.0058 2.0058 -4.4163
Zr Cu Tc
2 1 1
Direct
0.0000 0.0000 0.0000 Zr
0.7500 0.2500 0.5000 Zr
0.2500 0.7500 0.5000 Cu
0.5000 0.5000 0.0000 Tc
```



Compound: ZrCuTc2
Source: Alexandria
Functional: PBE-GGA
Structure: relaxed

Summary:
- Energy above the lowest structure with this stoichiometry: 0.113 eV/f.u.
- Total DFT energy (no corrections): -8.3269 eV/atom
- Spin magnetization: 0.0 μB per formula unit
- ΔE_f: 0.07 eV/f.u.

Geometry as POSCAR:
```
ZrCuTc2
1.0
2.9104 0.0000 0.0000
0.0000 4.3122 0.0000
-1.0572 0.0000 5.0776
Zr Cu Tc
1 1 2
Direct
0.0000 0.0000 0.0000 Zr
0.5740 0.5000 0.2051 Cu
0.2499 0.5000 0.6650 Tc
0.5731 0.0000 0.5052 Tc
```



Compound: ZrCuTc
Source: Alexandria
Functional: PBE-GGA
Structure: relaxed

Summary:
- Energy above the lowest structure with this stoichiometry: 0.487 eV/f.u.
- Total DFT energy (no corrections): -7.7130 eV/atom
- Spin magnetization: 0.0 μB per formula unit
- ΔE_f: -0.13 eV/f.u.

Geometry as POSCAR:
```
ZrCuTc
1.0
4.6910 -2.1037 0.0000
4.6910 2.1037 0.0000
-0.9348 0.0000 5.1403
Zr Cu Tc
2 2 2
Direct
0.0000 0.0000 0.0000 Zr
0.2435 0.2435 0.6356 Zr
0.3245 0.3245 0.1522 Cu
0.6900 0.6900 0.0485 Cu
0.5541 0.5541 0.5146 Tc
0.9102 0.9102 0.4718 Tc
```



Compound: Zr6CuTc
Source: Alexandria
Functional: PBE-GGA
Structure: relaxed

Summary:
- Total DFT energy (no corrections): -8.3692 eV/atom
- Spin magnetization: 0.0 μB per formula unit
- ΔE_f: -1.20 eV/f.u.

Geometry as POSCAR:
```
Zr6CuTc
1.0
-2.3213 2.3213 7.6031
2.3213 -2.3213 7.6031
2.3213 2.3213 -7.6031
Zr Cu Tc
6 1 1
Direct
0.1082 0.6082 0.5000 Zr
0.2489 0.2489 0.0000 Zr
0.3918 0.8918 0.5000 Zr
0.6082 0.1082 0.5000 Zr
0.7511 0.7511 0.0000 Zr
0.8918 0.3918 0.5000 Zr
0.5000 0.5000 0.0000 Cu
0.0000 0.0000 0.0000 Tc
```



Compound: ZrCuTc
Source: Alexandria
Functional: PBE-GGA
Structure: relaxed

Summary:
- Energy above the lowest structure with this stoichiometry: 0.405 eV/f.u.
- Total DFT energy (no corrections): -7.7402 eV/atom
- Spin magnetization: 0.0 μB per formula unit
- ΔE_f: -0.21 eV/f.u.

Geometry as POSCAR:
```
ZrCuTc
1.0
4.4145 0.0000 0.0000
0.0000 3.3572 0.0000
-1.4256 0.0000 6.5652
Zr Cu Tc
2 2 2
Direct
0.0000 0.0000 0.0000 Zr
0.3678 0.0000 0.6324 Zr
0.2278 0.5000 0.3113 Cu
0.4856 0.5000 0.9773 Cu
0.7120 0.0000 0.3100 Tc
0.8706 0.5000 0.6391 Tc
```



Compound: ZrCuTc
Source: Alexandria
Functional: PBE-GGA
Structure: relaxed

Summary:
- Energy above the lowest structure with this stoichiometry: 0.492 eV/f.u.
- Total DFT energy (no corrections): -7.7114 eV/atom
- Spin magnetization: 0.0 μB per formula unit
- ΔE_f: -0.12 eV/f.u.

Geometry as POSCAR:
```
ZrCuTc
1.0
4.5114 0.0000 0.0000
-2.2557 3.9070 0.0000
0.0000 0.0000 5.5360
Zr Cu Tc
2 2 2
Direct
0.0000 0.0000 0.0000 Zr
0.3333 0.6667 0.6159 Zr
0.3333 0.6667 0.1223 Cu
0.6667 0.3333 0.2886 Cu
0.0000 0.0000 0.5079 Tc
0.6667 0.3333 0.7849 Tc
```



Compound: ZrCu2Tc
Source: Alexandria
Functional: PBE-GGA
Structure: relaxed

Summary:
- Energy above the lowest structure with this stoichiometry: 1.318 eV/f.u.
- Total DFT energy (no corrections): -6.4898 eV/atom
- Spin magnetization: 0.0 μB per formula unit
- ΔE_f: 1.15 eV/f.u.

Geometry as POSCAR:
```
ZrCu2Tc
1.0
1.4043 0.8108 9.0460
-1.4043 0.8108 9.0460
0.0000 -1.6215 9.0460
Zr Cu Tc
1 2 1
Direct
0.0000 0.0000 0.0000 Zr
0.4953 0.4953 0.4953 Cu
0.7559 0.7559 0.7559 Cu
0.2395 0.2395 0.2395 Tc
```



Compound: ZrCuTc
Source: Alexandria
Functional: PBE-GGA
Structure: relaxed

Summary:
- Energy above the lowest structure with this stoichiometry: 0.430 eV/f.u.
- Total DFT energy (no corrections): -7.7320 eV/atom
- Spin magnetization: 0.0 μB per formula unit
- ΔE_f: -0.19 eV/f.u.

Geometry as POSCAR:
```
ZrCuTc
1.0
4.6705 -2.0936 0.0000
4.6705 2.0936 0.0000
-0.3597 0.0000 5.2412
Zr Cu Tc
2 2 2
Direct
0.0000 0.0000 0.0000 Zr
0.5779 0.5779 0.5062 Zr
0.2892 0.2892 0.7704 Cu
0.6995 0.6995 0.9957 Cu
0.2958 0.2958 0.2659 Tc
0.8650 0.8650 0.4788 Tc
```



Compound: Zr3CuTc2
Source: Alexandria
Functional: PBE-GGA
Structure: relaxed

Summary:
- Total DFT energy (no corrections): -8.7334 eV/atom
- Spin magnetization: 0.0 μB per formula unit
- ΔE_f: -1.93 eV/f.u.

Geometry as POSCAR:
```
Zr3CuTc2
1.0
3.3233 0.0000 0.0000
0.0000 3.3233 0.0000
0.0000 0.0000 9.7408
Zr Cu Tc
3 1 2
Direct
0.0000 0.0000 0.0000 Zr
0.0000 0.0000 0.3291 Zr
0.0000 0.0000 0.6709 Zr
0.5000 0.5000 0.5000 Cu
0.5000 0.5000 0.1727 Tc
0.5000 0.5000 0.8273 Tc
```



Compound: ZrCu2Tc
Source: Alexandria
Functional: PBE-GGA
Structure: relaxed

Summary:
- Energy above the lowest structure with this stoichiometry: 0.666 eV/f.u.
- Total DFT energy (no corrections): -6.6529 eV/atom
- Spin magnetization: 0.0 μB per formula unit
- ΔE_f: 0.49 eV/f.u.

Geometry as POSCAR:
```
ZrCu2Tc
1.0
4.6679 -1.3590 0.0000
4.6679 1.3590 0.0000
-0.9476 0.0000 4.7794
Zr Cu Tc
1 2 1
Direct
0.0000 0.0000 0.0000 Zr
0.2439 0.2439 0.7527 Cu
0.5176 0.5176 0.5061 Cu
0.7726 0.7726 0.2914 Tc
```



Compound: ZrCuTc2
Source: Alexandria
Functional: PBE-GGA
Structure: relaxed

Summary:
- Energy above the lowest structure with this stoichiometry: 0.525 eV/f.u.
- Total DFT energy (no corrections): -8.2240 eV/atom
- Spin magnetization: 0.0 μB per formula unit
- ΔE_f: 0.48 eV/f.u.

Geometry as POSCAR:
```
ZrCuTc2
1.0
2.9189 0.0000 0.0000
0.0000 4.6100 0.0000
-0.3549 0.0000 4.7475
Zr Cu Tc
1 1 2
Direct
0.0000 0.0000 0.0000 Zr
0.5000 0.0000 0.5000 Cu
0.3138 0.5000 0.7474 Tc
0.6862 0.5000 0.2526 Tc
```



Compound: Zr2CuTc
Source: Alexandria
Functional: PBE-GGA
Structure: relaxed

Summary:
- Total DFT energy (no corrections): -7.8594 eV/atom
- Spin magnetization: 0.0 μB per formula unit
- ΔE_f: 0.12 eV/f.u.

Geometry as POSCAR:
```
Zr2CuTc
1.0
1.6497 0.9525 8.0003
-1.6497 0.9525 8.0003
0.0000 -1.9049 8.0003
Zr Cu Tc
2 1 1
Direct
0.2489 0.2489 0.2489 Zr
0.7511 0.7511 0.7511 Zr
0.0000 0.0000 0.0000 Cu
0.5000 0.5000 0.5000 Tc
```



Compound: ZrCu2Tc
Source: Alexandria
Functional: PBE-GGA
Structure: relaxed

Summary:
- Energy above the lowest structure with this stoichiometry: 0.390 eV/f.u.
- Total DFT energy (no corrections): -6.7218 eV/atom
- Spin magnetization: 0.7 μB per formula unit
- ΔE_f: 0.22 eV/f.u.

Geometry as POSCAR:
```
ZrCu2Tc
1.0
-1.9371 1.9371 4.0698
1.9371 -1.9371 4.0698
1.9371 1.9371 -4.0698
Zr Cu Tc
1 2 1
Direct
0.0000 0.0000 0.0000 Zr
0.2500 0.7500 0.5000 Cu
0.5000 0.5000 0.0000 Cu
0.7500 0.2500 0.5000 Tc
```



Compound: Zr3Cu2Tc
Source: Alexandria
Functional: PBE-GGA
Structure: relaxed

Summary:
- Total DFT energy (no corrections): -7.5967 eV/atom
- Spin magnetization: 0.0 μB per formula unit
- ΔE_f: -1.38 eV/f.u.

Geometry as POSCAR:
```
Zr3Cu2Tc
1.0
4.6493 0.0000 0.0000
-2.3247 4.0265 0.0000
0.0000 0.0000 5.6936
Zr Cu Tc
3 2 1
Direct
0.0000 0.0000 0.0000 Zr
0.3333 0.6667 0.6627 Zr
0.6667 0.3333 0.3373 Zr
0.3333 0.6667 0.1611 Cu
0.6667 0.3333 0.8389 Cu
0.0000 0.0000 0.5000 Tc
```



Compound: ZrCuTc
Source: Alexandria
Functional: PBE-GGA
Structure: relaxed

Summary:
- Energy above the lowest structure with this stoichiometry: 0.490 eV/f.u.
- Total DFT energy (no corrections): -7.7118 eV/atom
- Spin magnetization: 0.0 μB per formula unit
- ΔE_f: -0.13 eV/f.u.

Geometry as POSCAR:
```
ZrCuTc
1.0
4.3164 -2.1355 0.0000
4.3164 2.1355 0.0000
-1.4315 0.0000 5.2859
Zr Cu Tc
2 2 2
Direct
0.0000 0.0000 0.0000 Zr
0.7309 0.7309 0.3582 Zr
0.0541 0.0541 0.5249 Cu
0.3497 0.3497 0.6959 Cu
0.3843 0.3843 0.2051 Tc
0.6665 0.6665 0.8275 Tc
```



Compound: ZrCuTc
Source: Alexandria
Functional: PBE-GGA
Structure: relaxed

Summary:
- Energy above the lowest structure with this stoichiometry: 0.564 eV/f.u.
- Total DFT energy (no corrections): -7.6871 eV/atom
- Spin magnetization: 0.0 μB per formula unit
- ΔE_f: -0.05 eV/f.u.

Geometry as POSCAR:
```
ZrCuTc
1.0
-1.6723 1.6723 4.3782
1.6723 -1.6723 4.3782
1.6723 1.6723 -4.3782
Zr Cu Tc
1 1 1
Direct
0.0000 0.0000 0.0000 Zr
0.3174 0.3174 0.0000 Cu
0.6717 0.6717 0.0000 Tc
```



Compound: ZrCu2Tc
Source: Alexandria
Functional: PBE-GGA
Structure: relaxed

Summary:
- Energy above the lowest structure with this stoichiometry: 1.762 eV/f.u.
- Total DFT energy (no corrections): -6.3788 eV/atom
- Spin magnetization: 0.0 μB per formula unit
- ΔE_f: 1.59 eV/f.u.

Geometry as POSCAR:
```
ZrCu2Tc
1.0
-1.8598 1.8598 9.5972
1.8598 -1.8598 9.5972
1.8598 1.8598 -9.5972
Zr Cu Tc
2 4 2
Direct
0.0000 0.0000 0.0000 Zr
0.7500 0.2500 0.5000 Zr
0.1538 0.6250 0.0288 Cu
0.3750 0.4038 0.5288 Cu
0.5962 0.1250 0.9712 Cu
0.8750 0.8462 0.4712 Cu
0.2500 0.7500 0.5000 Tc
0.5000 0.5000 0.0000 Tc
```



Compound: ZrCuTc
Source: Alexandria
Functional: PBE-GGA
Structure: relaxed

Summary:
- Energy above the lowest structure with this stoichiometry: 0.000 eV/f.u.
- Total DFT energy (no corrections): -7.8752 eV/atom
- Spin magnetization: 0.0 μB per formula unit
- ΔE_f: -0.62 eV/f.u.

Geometry as POSCAR:
```
ZrCuTc
1.0
-2.4652 2.5455 3.8827
2.4652 -2.5455 3.8827
2.4652 2.5455 -3.8827
Zr Cu Tc
2 2 2
Direct
0.3760 0.1260 0.2500 Zr
0.6240 0.8740 0.7500 Zr
0.0000 0.0000 0.5000 Cu
0.0000 0.5000 0.0000 Cu
0.0000 0.5000 0.5000 Tc
0.5000 0.5000 0.0000 Tc
```



Compound: Zr2CuTc
Source: Alexandria
Functional: PBE-GGA
Structure: relaxed

Summary:
- Total DFT energy (no corrections): -7.6633 eV/atom
- Spin magnetization: 0.0 μB per formula unit
- ΔE_f: 0.91 eV/f.u.

Geometry as POSCAR:
```
Zr2CuTc
1.0
-3.6286 3.6286 2.8420
3.6286 -3.6286 2.8420
3.6286 3.6286 -2.8420
Zr Cu Tc
4 2 2
Direct
0.1219 0.6250 0.9969 Zr
0.3750 0.3719 0.4969 Zr
0.6281 0.1250 0.0031 Zr
0.8750 0.8781 0.5031 Zr
0.2500 0.7500 0.5000 Cu
0.5000 0.5000 0.0000 Cu
0.0000 0.0000 0.0000 Tc
0.7500 0.2500 0.5000 Tc
```



Compound: Zr6Cu5Tc
Source: Alexandria
Functional: PBE-GGA
Structure: relaxed

Summary:
- Total DFT energy (no corrections): -7.0163 eV/atom
- Spin magnetization: 0.0 μB per formula unit
- ΔE_f: -2.06 eV/f.u.

Geometry as POSCAR:
```
Zr6Cu5Tc
1.0
4.6523 0.0000 0.0000
0.0000 6.5482 0.0000
-2.3321 0.0000 6.9661
Zr Cu Tc
6 5 1
Direct
0.0000 0.2471 0.0000 Zr
0.0000 0.7529 0.0000 Zr
0.3358 0.2493 0.6700 Zr
0.3358 0.7507 0.6700 Zr
0.6642 0.2493 0.3300 Zr
0.6642 0.7507 0.3300 Zr
0.1627 0.5000 0.3279 Cu
0.1684 0.0000 0.3392 Cu
0.5000 0.5000 0.0000 Cu
0.8316 0.0000 0.6608 Cu
0.8373 0.5000 0.6721 Cu
0.5000 0.0000 0.0000 Tc
```



Compound: Zr2CuTc
Source: Alexandria
Functional: PBE-GGA
Structure: relaxed

Summary:
- Total DFT energy (no corrections): -8.1783 eV/atom
- Spin magnetization: 0.0 μB per formula unit
- ΔE_f: -1.15 eV/f.u.

Geometry as POSCAR:
```
Zr2CuTc
1.0
3.3321 0.0000 0.0000
0.0000 3.3321 0.0000
0.0000 0.0000 6.4306
Zr Cu Tc
2 1 1
Direct
0.0000 0.0000 0.2452 Zr
0.0000 0.0000 0.7548 Zr
0.5000 0.5000 0.5000 Cu
0.5000 0.5000 0.0000 Tc
```



Compound: ZrCuTc
Source: Alexandria
Functional: PBE-GGA
Structure: relaxed

Summary:
- Energy above the lowest structure with this stoichiometry: 0.251 eV/f.u.
- Total DFT energy (no corrections): -7.7916 eV/atom
- Spin magnetization: 0.0 μB per formula unit
- ΔE_f: -0.36 eV/f.u.

Geometry as POSCAR:
```
ZrCuTc
1.0
1.7018 -6.6703 0.0000
1.7018 6.6703 0.0000
0.0000 0.0000 4.2687
Zr Cu Tc
2 2 2
Direct
0.0913 0.9087 0.7500 Zr
0.9087 0.0913 0.2500 Zr
0.2434 0.7565 0.2500 Cu
0.7565 0.2434 0.7500 Cu
0.4113 0.5887 0.7500 Tc
0.5887 0.4113 0.2500 Tc
```



Compound: ZrCu4Tc
Source: Alexandria
Functional: PBE-GGA
Structure: relaxed

Summary:
- Total DFT energy (no corrections): -5.8860 eV/atom
- Spin magnetization: 0.0 μB per formula unit
- ΔE_f: -0.02 eV/f.u.

Geometry as POSCAR:
```
ZrCu4Tc
1.0
0.0000 3.4625 3.4625
3.4625 0.0000 3.4625
3.4625 3.4625 0.0000
Zr Cu Tc
1 4 1
Direct
0.0000 0.0000 0.0000 Zr
0.1265 0.6245 0.6245 Cu
0.6245 0.1265 0.6245 Cu
0.6245 0.6245 0.1265 Cu
0.6245 0.6245 0.6245 Cu
0.2500 0.2500 0.2500 Tc
```



Compound: ZrCuTc
Source: Alexandria
Functional: PBE-GGA
Structure: relaxed

Summary:
- Energy above the lowest structure with this stoichiometry: 1.808 eV/f.u.
- Total DFT energy (no corrections): -7.2725 eV/atom
- Spin magnetization: 0.0 μB per formula unit
- ΔE_f: 1.19 eV/f.u.

Geometry as POSCAR:
```
ZrCuTc
1.0
0.0000 3.0026 3.0026
3.0026 0.0000 3.0026
3.0026 3.0026 0.0000
Zr Cu Tc
1 1 1
Direct
0.0000 0.0000 0.0000 Zr
0.2500 0.2500 0.2500 Cu
0.5000 0.5000 0.5000 Tc
```



Compound: Zr2CuTc3
Source: Alexandria
Functional: PBE-GGA
Structure: relaxed

Summary:
- Total DFT energy (no corrections): -9.0057 eV/atom
- Spin magnetization: 0.0 μB per formula unit
- ΔE_f: -1.74 eV/f.u.

Geometry as POSCAR:
```
Zr2CuTc3
1.0
2.5785 1.4887 4.3688
-2.5785 1.4887 4.3688
0.0000 -2.9774 4.3688
Zr Cu Tc
2 1 3
Direct
0.1216 0.1216 0.1216 Zr
0.8784 0.8784 0.8784 Zr
0.5000 0.5000 0.5000 Cu
0.0000 0.5000 0.5000 Tc
0.5000 0.0000 0.5000 Tc
0.5000 0.5000 0.0000 Tc
```



Compound: ZrCuTc2
Source: Alexandria
Functional: PBE-GGA
Structure: relaxed

Summary:
- Energy above the lowest structure with this stoichiometry: 0.394 eV/f.u.
- Total DFT energy (no corrections): -8.2566 eV/atom
- Spin magnetization: 0.0 μB per formula unit
- ΔE_f: 0.35 eV/f.u.

Geometry as POSCAR:
```
ZrCuTc2
1.0
4.5404 -1.5578 0.0000
4.5404 1.5578 0.0000
-1.0874 0.0000 4.5240
Zr Cu Tc
1 1 2
Direct
0.0000 0.0000 0.0000 Zr
0.5000 0.5000 0.5000 Cu
0.2344 0.2344 0.7076 Tc
0.7656 0.7656 0.2924 Tc
```



How do the records compare in D(E_F)? In the order shown, they have 1.1444 1.2100 0.9138 0.7072 0.9248 0.6657 0.8183 1.2605 0.8638 0.7985 0.8351 0.8355 1.3009 0.7795 0.8737 0.8105 0.7756 0.9483 0.7061 0.6976 1.1700 1.0175 0.8372 1.0241 1.0909 0.6759 1.1635 states/eV per atom.